SrCa2Zn after structural relaxation. Source: the Alexandria database, functional GGA-PBE.

Output
Space group = R-3m (166)
Fermi-level density of states = 2.98 states/eV/cell
Formation energy = -0.04 eV/atom
E_tot = -1.776 eV per atom

a = 11.096 Å, b = 11.096 Å, c = 11.096 Å
α = 21.07°, β = 21.07°, γ = 21.07°
Positions (direct):
Sr 0.000 0.000 0.000
Ca 0.228 0.228 0.228
Ca 0.772 0.772 0.772
Zn 0.500 0.500 0.500

Ac6PrSm after structural relaxation. Source: the Alexandria database, functional GGA-PBE.

Output
Space group = P4/mmm (123)
Fermi-level density of states = 13.54 states/eV/cell
Formation energy = 0.02 eV/atom
E_tot = -4.247 eV per atom

a = 5.529 Å, b = 5.529 Å, c = 11.060 Å
α = 90.00°, β = 90.00°, γ = 90.00°
Positions (direct):
Ac 0.000 0.000 0.000
Ac 0.000 0.000 0.500
Ac 0.000 0.500 0.249
Ac 0.000 0.500 0.751
Ac 0.500 0.000 0.249
Ac 0.500 0.000 0.751
Pr 0.500 0.500 0.500
Sm 0.500 0.500 0.000

AcSmTl2 after structural relaxation. Source: the Alexandria database, functional GGA-PBE.

Output
Space group = R-3m (166)
Fermi-level density of states = 2.60 states/eV/cell
Formation energy = -0.24 eV/atom
E_tot = -3.628 eV per atom

a = 10.268 Å, b = 10.268 Å, c = 10.268 Å
α = 22.41°, β = 22.41°, γ = 22.41°
Positions (direct):
Ac 0.000 0.000 0.000
Sm 0.500 0.500 0.500
Tl 0.245 0.245 0.245
Tl 0.755 0.755 0.755

Question: E_tot of number 1 (SrCa2Zn)?
Answer: -1.776 eV per atom

Question: Which of these has the lowest formation energy?
Answer: AcSmTl2

Question: Which formula does entry 1 have?
Answer: SrCa2Zn